This record from Alexandria describes a relaxed LiPO2F crystal. The functional is PBE.

a = 3.485 Å, b = 3.485 Å, c = 4.565 Å
α = 90.00°, β = 90.00°, γ = 90.00°
Each line ends with the local moment (μB).
Fractional positions:
1 P 0.000 0.000 0.500  -0.17
2 Li 0.000 0.000 0.000  -0.02
3 O 0.000 0.500 0.000  0.79
4 O 0.500 0.000 0.000  0.79
5 F 0.500 0.500 0.500  -0.03

Output
SG: No. 123
Total DFT energy (no corrections), eV per cell: -17.82
Theoretical density, g/cm3: 2.66
DOS(E_F), states/eV/atom: 0.510

***

This record from Alexandria describes a relaxed LiPO2F crystal. The functional is PBE.

a = 4.476 Å, b = 4.476 Å, c = 3.478 Å
α = 90.00°, β = 90.00°, γ = 90.00°
Each line ends with the local moment (μB).
Fractional positions:
1 P 0.000 0.000 0.500  -0.18
2 Li 0.500 0.500 0.500  -0.01
3 O 0.000 0.500 0.000  0.65
4 O 0.500 0.000 0.000  0.65
5 F 0.000 0.000 0.000  0.08

Output
SG: No. 123
Total DFT energy (no corrections), eV per cell: -17.37
Theoretical density, g/cm3: 2.12
DOS(E_F), states/eV/atom: 0.577

***

This record from Alexandria describes a relaxed Li2PO3F crystal. The functional is PBE.

a = 5.927 Å, b = 5.927 Å, c = 5.927 Å
α = 56.28°, β = 56.28°, γ = 56.28°
Fractional positions:
1 Li 0.000 0.000 0.000
2 Li 0.500 0.000 0.000
3 Li 0.000 0.500 0.000
4 Li 0.000 0.000 0.500
5 P 0.394 0.394 0.394
6 P 0.606 0.606 0.606
7 O 0.275 0.736 0.736
8 O 0.736 0.275 0.736
9 O 0.736 0.736 0.275
10 O 0.725 0.264 0.264
11 O 0.264 0.725 0.264
12 O 0.264 0.264 0.725
13 F 0.717 0.717 0.717
14 F 0.283 0.283 0.283

Output
SG: No. 166
Total DFT energy (no corrections), eV per cell: -84.93
Theoretical density, g/cm3: 2.76
DOS(E_F), states/eV/atom: 0.000

***

This record from Alexandria describes a relaxed LiPO2F crystal. The functional is PBE.

a = 3.261 Å, b = 3.261 Å, c = 6.969 Å
α = 90.00°, β = 90.00°, γ = 90.00°
Fractional positions:
1 P 0.000 0.000 0.000
2 Li 0.000 0.000 0.500
3 O 0.000 0.500 0.000
4 O 0.500 0.000 0.000
5 F 0.500 0.500 0.500

Output
SG: No. 123
Total DFT energy (no corrections), eV per cell: -26.27
Theoretical density, g/cm3: 1.99
DOS(E_F), states/eV/atom: 0.194

***

This record from Alexandria describes a relaxed LiPOF2 crystal. The functional is PBE.

a = 4.267 Å, b = 4.267 Å, c = 3.548 Å
α = 90.00°, β = 90.00°, γ = 90.00°
Fractional positions:
1 P 0.000 0.000 0.000
2 Li 0.500 0.500 0.500
3 O 0.000 0.000 0.500
4 F 0.000 0.500 0.000
5 F 0.500 0.000 0.000

Output
SG: No. 123
Total DFT energy (no corrections), eV per cell: -23.79
Theoretical density, g/cm3: 2.36
DOS(E_F), states/eV/atom: 0.056

***

This record from Alexandria describes a relaxed LiPO2F crystal. The functional is PBE.

a = 3.688 Å, b = 3.688 Å, c = 3.415 Å
α = 90.00°, β = 90.00°, γ = 90.00°
Each line ends with the local moment (μB).
Fractional positions:
1 P 0.500 0.500 0.500  -0.08
2 Li 0.000 0.000 0.000  0.01
3 O 0.000 0.500 0.000  0.48
4 O 0.500 0.000 0.000  0.48
5 F 0.000 0.000 0.500  0.03

Output
SG: No. 123
Total DFT energy (no corrections), eV per cell: -20.66
Theoretical density, g/cm3: 3.18
DOS(E_F), states/eV/atom: 0.330